Entry 1:
First-principles (PBE) data for crystalline VTc2W at its relaxed geometry, as listed in the Alexandria database.

Summary:
Energy of formation ... 15.528 kcal/mol of atoms

Unit cell a=2.8071 b=4.5104 c=9.8664 alpha=90.00 beta=90.00 gamma=90.00
Space group Immm (No. 71)
Inequivalent atoms, fractional coordinates:
V  0.0000  0.0000  0.0000
Tc  0.0000  0.0000  0.2269
W  0.0000  0.0000  0.5000

=====

Entry 2:
First-principles (PBE) data for crystalline V2TcW at its relaxed geometry, as listed in the Alexandria database.

Summary:
Energy of formation ... 14.976 kcal/mol of atoms

Unit cell a=2.8814 b=4.3848 c=9.8978 alpha=90.00 beta=90.00 gamma=90.00
Space group Immm (No. 71)
Inequivalent atoms, fractional coordinates:
V  0.0000  0.0000  0.2411
Tc  0.0000  0.0000  0.0000
W  0.0000  0.0000  0.5000

=====

Entry 3:
First-principles (PBE) data for crystalline V2TcW6 at its relaxed geometry, as listed in the Alexandria database.

Summary:
Energy of formation ... 1.412 kcal/mol of atoms
Offset from the most stable computed form ... 0.0 meV/atom

Unit cell a=7.8522 b=7.9601 c=4.4760 alpha=90.00 beta=90.00 gamma=90.00
Space group Pnnm (No. 58)
Inequivalent atoms, fractional coordinates:
V  0.1628  0.2328  0.0000
Tc  0.0000  0.0000  0.5000
W  0.0006  0.6691  0.5000
W  0.1655  0.5668  0.0000
W  0.1660  0.9023  0.0000

=====

Record order is preserved below.
DOS at the Fermi energy: 0.83 1.14 0.63 states/eV/atom
Record order is preserved below.
E: -10.028 -9.740 -11.752 eV per atom